MgInAu3 | PBE | relaxed

Results
Energy above the most stable polymorph in this dataset in eV per atom: 0.014
Calculated density in g/cm3: 11.548
Spin magnetization in μB/cell: 0.00
N(E_F) in states/eV per atom: 0.3409

Cell and atoms, written as CIF:
```
data_MgInAu3
_cell_length_a 4.845
_cell_length_b 4.860
_cell_length_c 8.972
_cell_angle_alpha 90.00
_cell_angle_beta 96.40
_cell_angle_gamma 90.00
_space_group_name_H-M_alt 'P 1 21/m 1'
_space_group_IT_number 11
_space_group_name_Hall '-P 2yb'
loop_
_atom_site_label
_atom_site_fract_x
_atom_site_fract_y
_atom_site_fract_z
Mg1 0.175 0.250 0.141
In1 0.411 0.750 0.374
Au1 0.103 0.250 0.802
Au2 0.306 0.750 0.675
Au3 0.345 0.750 0.010
```